No. 1
A plane-wave DFT calculation with GGA-PBEsol was carried out for a relaxed Cr2CdMo crystal.

V   56.8 Å³ per cell
Final energy   -7.7215 eV per atom

Geometry as POSCAR:
```
Cr2CdMo
1.0
-0.175 -3.292 -1.749
-1.553 -1.528 3.030
-2.836 3.360 -2.058
Cd Cr Mo
1 2 1
Cartesian
-2.627 -0.289 0.807 Cd
-1.938 -1.171 -1.583 Cr
0.000 0.000 0.000 Cr
-0.864 -2.410 0.640 Mo
```

No. 2
A plane-wave DFT calculation with GGA-PBEsol was carried out for a relaxed CrCd2Mo crystal.

V   66.8 Å³ per cell
Energy above the most stable polymorph in this dataset   0.000 eV per atom

Geometry as POSCAR:
```
CrCd2Mo
1.0
3.097 0.000 0.000
0.000 3.097 0.000
0.000 0.000 6.965
Cd Cr Mo
2 1 1
Cartesian
0.000 0.000 6.856 Cd
1.549 1.549 1.915 Cd
0.000 0.000 3.778 Cr
1.549 1.549 4.863 Mo
```

No. 3
A plane-wave DFT calculation with GGA-PBEsol was carried out for a relaxed CrCd2Mo crystal.

V   67.1 Å³ per cell
Energy above the most stable polymorph in this dataset   0.292 eV per atom

Geometry as POSCAR:
```
CrCd2Mo
1.0
-1.100 -0.355 -2.589
2.993 -3.782 -0.754
-3.317 -2.151 3.258
Cd Mo Cr
2 1 1
Cartesian
-1.200 -2.129 0.802 Cd
-0.224 -4.160 -0.887 Cd
-0.550 -0.178 -1.294 Mo
1.497 -1.891 -0.377 Cr
```

No. 4
A plane-wave DFT calculation with GGA-PBEsol was carried out for a relaxed Cr3CdMo crystal.

V   96.5 Å³ per cell
Final energy   -7.2586 eV per atom

Geometry as POSCAR:
```
Cr3CdMo
1.0
4.587 0.000 0.000
0.000 4.587 0.000
0.000 0.000 4.587
Cr Mo Cd
3 1 1
Cartesian
0.000 2.293 0.000 Cr
2.293 0.000 0.000 Cr
0.000 0.000 2.293 Cr
0.000 0.000 0.000 Mo
2.293 2.293 2.293 Cd
```

No. 5
A plane-wave DFT calculation with GGA-PBEsol was carried out for a relaxed Cr2CdMo crystal.

V   59.7 Å³ per cell
Final energy   -7.8892 eV per atom

Geometry as POSCAR:
```
Cr2CdMo
1.0
-1.551 -2.159 0.034
3.379 -2.437 -0.586
1.292 0.524 5.272
Cr Mo Cd
2 1 1
Cartesian
-0.092 -0.368 0.998 Cr
-0.167 -1.267 4.308 Cr
0.914 -2.298 -0.276 Mo
2.336 -0.957 2.343 Cd
```

No. 6
A plane-wave DFT calculation with GGA-PBEsol was carried out for a relaxed CrCd2Mo crystal.

V   66.0 Å³ per cell
Energy above the most stable polymorph in this dataset   0.349 eV per atom

Geometry as POSCAR:
```
CrCd2Mo
1.0
2.819 0.000 0.000
1.409 2.441 0.000
1.409 0.814 9.594
Cd Mo Cr
2 1 1
Cartesian
1.409 0.814 2.472 Cd
4.228 2.441 7.122 Cd
0.000 0.000 0.000 Mo
2.819 1.628 4.797 Cr
```

No. 7
A plane-wave DFT calculation with GGA-PBEsol was carried out for a relaxed CrCd3N crystal.

V   145.4 Å³ per cell
E_form (uncorrected)   1728 meV/atom

Geometry as POSCAR:
```
CrCd3N
1.0
-0.857 0.948 5.101
-4.710 -2.311 -0.362
2.177 -4.627 1.226
Cd Cr N
3 1 1
Cartesian
-2.355 -1.156 -0.181 Cd
-0.429 0.474 2.551 Cd
1.088 -2.314 0.613 Cd
0.000 0.000 0.000 Cr
-1.695 -2.995 2.983 N
```

No. 8
A plane-wave DFT calculation with GGA-PBEsol was carried out for a relaxed CrCd2NiN crystal.

V   87.6 Å³ per cell
E_form (uncorrected)   707 meV/atom

Geometry as POSCAR:
```
CrCd2NiN
1.0
3.348 0.000 0.000
0.000 5.116 0.000
0.000 0.000 5.116
Cd Ni Cr N
2 1 1 1
Cartesian
0.000 0.000 2.558 Cd
0.000 2.558 0.000 Cd
0.000 0.000 0.000 Ni
1.674 2.558 2.558 Cr
1.674 0.000 0.000 N
```

No. 9
A plane-wave DFT calculation with GGA-PBEsol was carried out for a relaxed CrCdSN2 crystal.

V   90.3 Å³ per cell
E_form (uncorrected)   1872 meV/atom

Geometry as POSCAR:
```
CrCdSN2
1.0
-3.119 2.408 0.883
-1.341 -0.346 -3.793
-2.998 -4.420 1.463
S Cd N Cr
1 1 2 1
Cartesian
-1.499 -2.210 0.731 S
0.000 0.000 0.000 Cd
-0.670 -0.173 -1.897 N
-1.559 1.204 0.441 N
-3.729 -1.179 -0.724 Cr
```

No. 10
A plane-wave DFT calculation with GGA-PBEsol was carried out for a relaxed CrCdSe2N crystal.

V   109.7 Å³ per cell
E_form (uncorrected)   1246 meV/atom

Geometry as POSCAR:
```
CrCdSe2N
1.0
-0.827 2.897 2.657
-5.070 -1.248 -0.216
0.670 -3.398 3.914
Se Cr Cd N
2 1 1 1
Cartesian
0.335 -1.699 1.957 Se
-2.535 -0.624 -0.108 Se
-2.613 -0.874 3.177 Cr
0.000 0.000 0.000 Cd
-0.413 1.449 1.328 N
```

No. 11
A plane-wave DFT calculation with GGA-PBEsol was carried out for a relaxed Na2CrCdNi crystal.

V   143.2 Å³ per cell
Final energy   -2.7209 eV per atom

Geometry as POSCAR:
```
Na2CrCdNi
1.0
5.147 0.000 0.000
0.000 5.275 0.000
0.000 0.000 5.275
Na Ni Cd Cr
2 1 1 1
Cartesian
0.000 2.638 0.000 Na
0.000 0.000 2.638 Na
2.573 2.638 2.638 Ni
0.000 0.000 0.000 Cd
2.573 0.000 0.000 Cr
```

No. 12
A plane-wave DFT calculation with GGA-PBEsol was carried out for a relaxed NaTiCr2Cd crystal.

V   106.1 Å³ per cell
Final energy   -4.4564 eV per atom

Geometry as POSCAR:
```
NaTiCr2Cd
1.0
-1.736 2.963 -3.221
-3.788 -2.753 -0.491
-2.229 2.451 3.455
Ti Cr Cd Na
1 2 1 1
Cartesian
-1.114 1.225 1.728 Ti
-0.868 1.481 -1.611 Cr
-1.894 -1.376 -0.245 Cr
-3.876 1.331 -0.128 Cd
0.000 0.000 0.000 Na
```